[1]
SiPbI2O | SCAN | PBEsol geometry Values from VASP.

```
&SYSTEM
  ibrav = 0, nat = 5, ntyp = 4
/
ATOMIC_SPECIES
O 16.00 O.upf
I 126.90 I.upf
Pb 207.20 Pb.upf
Si 28.09 Si.upf
ATOMIC_POSITIONS angstrom
O 2.674 2.674 2.780
I 0.000 2.674 0.000
I 2.674 0.000 0.000
Pb 0.000 0.000 2.780
Si 0.000 0.000 0.000
CELL_PARAMETERS angstrom
5.347 0.000 0.000
0.000 5.347 0.000
0.000 0.000 5.561
```

Formation energy from raw total energies, kJ per mole of atoms: 59.1
Offset from the most stable computed form, eV/atom: 0.236
Volume, Å³ per cell: 159
Space-group type: No. 123



[2]
LaNi2Os | SCAN | PBEsol geometry Values from VASP.

```
&SYSTEM
  ibrav = 0, nat = 4, ntyp = 3
/
ATOMIC_SPECIES
Ni 58.69 Ni.upf
Os 190.23 Os.upf
La 138.91 La.upf
ATOMIC_POSITIONS angstrom
Ni -0.024 2.315 0.002
Ni -0.024 -0.545 2.250
Os 1.441 0.016 0.020
La 1.393 1.786 2.273
CELL_PARAMETERS angstrom
2.883 0.032 0.040
-0.048 4.631 0.005
-0.048 -1.091 4.501
```

Offset from the most stable computed form, eV/atom: 0.000
Energy of formation, kcal/mol of atoms: 6.8
Volume, Å³ per cell: 60
Space-group type: No. 65



[3]
Li2LaAg2 | SCAN | PBEsol geometry Values from VASP.

```
&SYSTEM
  ibrav = 0, nat = 5, ntyp = 3
/
ATOMIC_SPECIES
La 138.91 La.upf
Ag 107.87 Ag.upf
Li 6.94 Li.upf
ATOMIC_POSITIONS angstrom
La 0.000 0.000 0.000
Ag 0.000 0.000 5.184
Ag 2.014 2.014 1.412
Li 0.000 2.014 3.298
Li 2.014 0.000 3.298
CELL_PARAMETERS angstrom
4.029 0.000 0.000
0.000 4.029 0.000
-2.014 -2.014 6.596
```

Offset from the most stable computed form, eV/atom: 0.000
Energy of formation, kcal/mol of atoms: -5.6
Volume, Å³ per cell: 107
Space-group type: No. 139



Q: Which Fermi-level density of states values were calculated for the entries above? A: 2.6; 3.7; 2.1, in states/eV/f.u..